1.
Computed, not measured: an optimized crystal structure of SnPd3S at the PBE-GGA level of DFT.

Summary:
Magnetization: 0.0000 μB per atom
Formation energy without anion corrections: -91 kJ/mol of formula units
V: 96.32 Å³/f.u.

a b c (Å): 4.584 4.584 4.584
angles (deg): 90.00 90.00 90.00
Element x y z (fractional)
Sn (0.000, 0.000, 0.000)
Pd (0.000, 0.500, 0.500)
Pd (0.500, 0.000, 0.500)
Pd (0.500, 0.500, 0.000)
S (0.500, 0.500, 0.500)

2.
Computed, not measured: an optimized crystal structure of K3Na3PbI8 at the PBE-GGA level of DFT.

Summary:
Magnetization: 0.0000 μB per atom
Formation energy without anion corrections: -1774 kJ/mol of formula units
V: 639.34 Å³/f.u.

a b c (Å): 9.822 9.822 9.822
angles (deg): 58.01 58.01 58.01
Element x y z (fractional)
K (0.000, 0.500, 0.500)
K (0.500, 0.000, 0.500)
K (0.500, 0.500, 0.000)
Na (0.000, 0.000, 0.500)
Na (0.000, 0.500, 0.000)
Na (0.500, 0.000, 0.000)
Pb (0.500, 0.500, 0.500)
I (0.242, 0.242, 0.242)
I (0.243, 0.740, 0.740)
I (0.260, 0.260, 0.757)
I (0.260, 0.757, 0.260)
I (0.740, 0.243, 0.740)
I (0.740, 0.740, 0.243)
I (0.757, 0.260, 0.260)
I (0.758, 0.758, 0.758)

3.
Computed, not measured: an optimized crystal structure of Sr2USnTe5 at the PBE-GGA level of DFT.

Summary:
Magnetization: 0.2240 μB per atom
Formation energy without anion corrections: -827 kJ/mol of formula units
V: 337.20 Å³/f.u.

a b c (Å): 9.911 9.911 15.368
angles (deg): 90.00 90.00 153.47
Element x y z (fractional)
Sr (0.083, 0.917, 0.500)
Sr (0.132, 0.868, 0.153)
Sr (0.868, 0.132, 0.653)
Sr (0.917, 0.083, 0.000)
U (0.233, 0.767, 0.890)
U (0.767, 0.233, 0.390)
Sn (0.444, 0.556, 0.296)
Sn (0.556, 0.444, 0.796)
Te (0.080, 0.920, 0.926)
Te (0.258, 0.742, 0.529)
Te (0.289, 0.711, 0.257)
Te (0.386, 0.614, 0.839)
Te (0.494, 0.506, 0.609)
Te (0.506, 0.494, 0.109)
Te (0.614, 0.386, 0.339)
Te (0.711, 0.289, 0.757)
Te (0.742, 0.258, 0.029)
Te (0.920, 0.080, 0.426)

4.
Computed, not measured: an optimized crystal structure of CrAs2Ru2 at the PBE-GGA level of DFT.

Summary:
Magnetization: 0.0000 μB per atom
E_form: 210 meV/atom
V: 72.37 Å³/f.u.

a b c (Å): 7.080 7.080 2.888
angles (deg): 90.00 90.00 90.00
Element x y z (fractional)
Cr (0.000, 0.000, 0.000)
Cr (0.500, 0.500, 0.000)
As (0.157, 0.343, 0.000)
As (0.343, 0.843, 0.000)
As (0.657, 0.157, 0.000)
As (0.843, 0.657, 0.000)
Ru (0.147, 0.647, 0.500)
Ru (0.353, 0.147, 0.500)
Ru (0.647, 0.853, 0.500)
Ru (0.853, 0.353, 0.500)

5.
Computed, not measured: an optimized crystal structure of Cd2SbMo at the PBE-GGA level of DFT.

Summary:
Magnetization: 0.3307 μB per atom
Formation energy without anion corrections: 255 kJ/mol of formula units
V: 92.44 Å³/f.u.

a b c (Å): 8.224 8.224 5.467
angles (deg): 90.00 90.00 90.00
Element x y z (fractional)
Cd (0.233, 0.250, 0.125)
Cd (0.250, 0.733, 0.375)
Cd (0.250, 0.767, 0.875)
Cd (0.267, 0.250, 0.625)
Cd (0.733, 0.750, 0.625)
Cd (0.750, 0.233, 0.875)
Cd (0.750, 0.267, 0.375)
Cd (0.767, 0.750, 0.125)
Sb (0.000, 0.000, 0.500)
Sb (0.000, 0.500, 0.750)
Sb (0.500, 0.000, 0.250)
Sb (0.500, 0.500, 0.000)
Mo (0.000, 0.000, 0.000)
Mo (0.000, 0.500, 0.250)
Mo (0.500, 0.000, 0.750)
Mo (0.500, 0.500, 0.500)

6.
Computed, not measured: an optimized crystal structure of LiHf3Ru at the PBE-GGA level of DFT.

Summary:
Magnetization: 0.0000 μB per atom
E_form: 935 meV/atom
V: 93.62 Å³/f.u.

a b c (Å): 4.541 4.541 4.541
angles (deg): 90.00 90.00 90.00
Element x y z (fractional)
Li (0.000, 0.000, 0.000)
Hf (0.000, 0.000, 0.500)
Hf (0.000, 0.500, 0.000)
Hf (0.500, 0.000, 0.000)
Ru (0.500, 0.500, 0.500)